# 1
The following is a PBE-GGA calculation of an optimized crystal structure of Bi5Pt19, from the Open Quantum Materials Database.

Properties
- calculated volume (Å³/cell) = 912
- symmetry = P6_3/mmc (194)
- total DFT energy (no corrections) (eV per atom) = -5.663

Lattice parameters (Å, degrees): 5.4021 5.4021 36.0847 90.00 90.00 120.00
Closest atoms and distances in Å follow each position.
Sites, in units of the cell vectors:
Pt (0.3333, 0.6667, 0.8755)  6 Pt 2.75-2.76
Pt (0.8322, 0.1678, 0.0617)  7 Pt 2.68-2.77, 2 Bi 2.99
Pt (0.0000, 0.0000, 0.6250)  6 Pt 2.75-2.77
Pt (0.8322, 0.1678, 0.4383)  7 Pt 2.68-2.77, 2 Bi 2.99
Pt (0.1678, 0.3357, 0.5617)  7 Pt 2.68-2.77, 2 Bi 2.99
Pt (0.1678, 0.3357, 0.9383)  7 Pt 2.68-2.77, 2 Bi 2.99
Pt (0.0000, 0.0000, 0.8750)  6 Pt 2.75-2.77
Pt (0.0000, 0.0000, 0.7500)  6 Pt 2.74
Pt (0.3357, 0.1678, 0.0617)  7 Pt 2.68-2.77, 2 Bi 2.99
Pt (0.1668, 0.8332, 0.8123)  8 Pt 2.70-2.76
Pt (0.1668, 0.3336, 0.6877)  8 Pt 2.70-2.76
Pt (0.6643, 0.8322, 0.9383)  7 Pt 2.68-2.77, 2 Bi 2.99
Pt (0.0000, 0.0000, 0.3750)  6 Pt 2.75-2.77
Pt (0.1678, 0.8322, 0.9383)  7 Pt 2.68-2.77, 2 Bi 2.99
Pt (0.0000, 0.0000, 0.2500)  6 Pt 2.74
Pt (0.3333, 0.6667, 0.6245)  6 Pt 2.75-2.76
Pt (0.1668, 0.8332, 0.6877)  8 Pt 2.70-2.76
Pt (0.3333, 0.6667, 0.7500)  6 Pt 2.74
Pt (0.6667, 0.3333, 0.1245)  6 Pt 2.75-2.76
Pt (0.3336, 0.1668, 0.1877)  8 Pt 2.70-2.76
Pt (0.3336, 0.1668, 0.3123)  8 Pt 2.70-2.76
Pt (0.6664, 0.8332, 0.6877)  8 Pt 2.70-2.76
Pt (0.1678, 0.8322, 0.5617)  7 Pt 2.68-2.77, 2 Bi 2.99
Pt (0.8322, 0.6643, 0.4383)  7 Pt 2.68-2.77, 2 Bi 2.99
Pt (0.8332, 0.1668, 0.1877)  8 Pt 2.70-2.76
Pt (0.6664, 0.8332, 0.8123)  8 Pt 2.70-2.76
Pt (0.3357, 0.1678, 0.4383)  7 Pt 2.68-2.77, 2 Bi 2.99
Pt (0.8332, 0.6664, 0.1877)  8 Pt 2.70-2.76
Pt (0.6667, 0.3333, 0.3755)  6 Pt 2.75-2.76
Pt (0.8332, 0.1668, 0.3123)  8 Pt 2.70-2.76
Pt (0.6667, 0.3333, 0.2500)  6 Pt 2.74
Pt (0.0000, 0.0000, 0.5000)  6 Pt 2.72
Pt (0.0000, 0.0000, 0.0000)  6 Pt 2.72
Pt (0.6643, 0.8322, 0.5617)  7 Pt 2.68-2.77, 2 Bi 2.99
Pt (0.1668, 0.3336, 0.8123)  8 Pt 2.70-2.76
Pt (0.8332, 0.6664, 0.3123)  8 Pt 2.70-2.76
Pt (0.8322, 0.6643, 0.0617)  7 Pt 2.68-2.77, 2 Bi 2.99
Pt (0.0000, 0.0000, 0.1250)  6 Pt 2.75-2.77
Bi (0.6667, 0.3333, 0.6366)  12 Pt 3.15-3.27
Bi (0.3333, 0.6667, 0.1366)  12 Pt 3.15-3.27
Bi (0.3333, 0.6667, 0.0259)  9 Pt 2.99-3.26
Bi (0.6667, 0.3333, 0.7500)  6 Pt 3.12
Bi (0.3333, 0.6667, 0.2500)  6 Pt 3.12
Bi (0.6667, 0.3333, 0.9741)  9 Pt 2.99-3.26
Bi (0.6667, 0.3333, 0.8634)  12 Pt 3.15-3.27
Bi (0.6667, 0.3333, 0.5259)  9 Pt 2.99-3.26
Bi (0.3333, 0.6667, 0.4741)  9 Pt 2.99-3.26
Bi (0.3333, 0.6667, 0.3634)  12 Pt 3.15-3.27

# 2
The following is a PBE-GGA calculation of an optimized crystal structure of HfZr2Si4Ni4, from the Open Quantum Materials Database.

Properties
- calculated volume (Å³/cell) = 157
- symmetry = Immm (71)
- total DFT energy (no corrections) (eV per atom) = -7.318

Lattice parameters (Å, degrees): 7.3773 7.3773 7.3773 149.62 128.80 60.70
Closest atoms and distances in Å follow each position.
Sites, in units of the cell vectors:
Si (0.2137, 0.2137, 0.0000)  6 Ni 2.36-2.39
Si (0.3041, 0.5000, 0.8041)  2 Ni 2.33, 1 Si 2.50
Si (0.6959, 0.5000, 0.1959)  2 Ni 2.33, 1 Si 2.50
Si (0.7863, 0.7863, 0.0000)  6 Ni 2.36-2.39
Ni (0.3737, 0.6755, 0.6982)  4 Si 2.33-2.39, 1 Ni 2.53
Ni (0.0228, 0.3245, 0.6982)  4 Si 2.33-2.39, 1 Ni 2.53
Ni (0.9772, 0.6755, 0.3018)  4 Si 2.33-2.39, 1 Ni 2.53
Ni (0.6263, 0.3245, 0.3018)  4 Si 2.33-2.39, 1 Ni 2.53
Hf (0.0000, 0.0000, 0.0000)  6 Si 2.72-2.74
Zr (0.6260, 0.1260, 0.5000)  6 Ni 2.80-2.83, 6 Si 2.81
Zr (0.3740, 0.8740, 0.5000)  6 Ni 2.80-2.83, 6 Si 2.81

# 3
The following is a PBE-GGA calculation of an optimized crystal structure of Cs2Te3Mo, from the Open Quantum Materials Database.

Properties
- calculated volume (Å³/cell) = 505
- symmetry = Cmcm (63)
- total DFT energy (no corrections) (eV per atom) = -4.205

Lattice parameters (Å, degrees): 8.4292 8.4292 7.3201 90.00 90.00 76.18
Closest atoms and distances in Å follow each position.
Sites, in units of the cell vectors:
Te (0.3695, 0.3695, 0.0000)  2 Mo 2.71
Te (0.8436, 0.1564, 0.2500)  1 Mo 2.58
Te (0.1564, 0.8436, 0.7500)  1 Mo 2.58
Te (0.6305, 0.6305, 0.5000)  2 Mo 2.71
Te (0.3695, 0.3695, 0.5000)  2 Mo 2.71
Te (0.6305, 0.6305, 0.0000)  2 Mo 2.71
Mo (0.4043, 0.5957, 0.7500)  5 Te 2.58-2.71
Mo (0.5957, 0.4043, 0.2500)  5 Te 2.58-2.71
Cs (0.9834, 0.3265, 0.7500)  7 Te 3.83-4.20, 1 Cs 4.11
Cs (0.6735, 0.0166, 0.7500)  7 Te 3.83-4.20, 1 Cs 4.11
Cs (0.0166, 0.6735, 0.2500)  7 Te 3.83-4.20, 1 Cs 4.11
Cs (0.3265, 0.9834, 0.2500)  7 Te 3.83-4.20, 1 Cs 4.11

# 4
The following is a PBE-GGA calculation of an optimized crystal structure of TlIr15, from the Open Quantum Materials Database.

Properties
- calculated volume (Å³/cell) = 757
- symmetry = P2/c (13)
- energy relative to the lowest polymorph listed for this composition (eV per atom) = 0.052
- total DFT energy (no corrections) (eV per atom) = -8.296

Lattice parameters (Å, degrees): 4.7269 35.9804 4.7260 90.00 109.63 90.00
Closest atoms and distances in Å follow each position.
Sites, in units of the cell vectors:
Ir (0.5000, 0.2529, 0.7500)  9 Ir 2.68-2.73
Ir (0.5000, 0.5191, 0.2500)  12 Ir 2.72-2.75
Ir (0.0000, 0.3671, 0.7500)  12 Ir 2.72-2.76
Ir (0.0000, 0.6329, 0.2500)  12 Ir 2.72-2.76
Ir (0.5000, 0.6713, 0.2500)  12 Ir 2.72-2.74
Ir (0.0000, 0.6714, 0.7500)  12 Ir 2.72-2.74
Ir (0.5000, 0.7093, 0.7500)  12 Ir 2.63-2.73
Ir (0.0000, 0.2904, 0.7500)  11 Ir 2.72-2.76
Ir (0.5000, 0.4046, 0.7500)  12 Ir 2.72-2.75
Ir (0.5000, 0.7824, 0.7500)  5 Ir 2.63-2.68, 2 Tl 2.84
Ir (0.5000, 0.5954, 0.2500)  12 Ir 2.72-2.75
Ir (0.5000, 0.3287, 0.7500)  12 Ir 2.72-2.74
Ir (0.5000, 0.3664, 0.2500)  12 Ir 2.72-2.74
Ir (0.0000, 0.7096, 0.2500)  11 Ir 2.72-2.76
Ir (0.5000, 0.2907, 0.2500)  12 Ir 2.63-2.73
Ir (0.0000, 0.2529, 0.2500)  9 Ir 2.68-2.73
Ir (0.0000, 0.4427, 0.7500)  12 Ir 2.72-2.74
Ir (0.5000, 0.6336, 0.7500)  12 Ir 2.72-2.74
Ir (0.0000, 0.4045, 0.2500)  12 Ir 2.72-2.75
Ir (0.5000, 0.2176, 0.2500)  5 Ir 2.63-2.68, 2 Tl 2.84
Ir (0.0000, 0.5190, 0.7500)  12 Ir 2.72-2.75
Ir (0.0000, 0.3286, 0.2500)  12 Ir 2.72-2.74
Ir (0.0000, 0.7471, 0.7500)  9 Ir 2.68-2.73
Ir (0.5000, 0.7471, 0.2500)  9 Ir 2.68-2.73
Ir (0.0000, 0.5573, 0.2500)  12 Ir 2.72-2.74
Ir (0.5000, 0.4809, 0.7500)  12 Ir 2.72-2.75
Ir (0.0000, 0.5955, 0.7500)  12 Ir 2.72-2.75
Ir (0.0000, 0.4810, 0.2500)  12 Ir 2.72-2.75
Ir (0.5000, 0.5574, 0.7500)  12 Ir 2.72-2.75
Ir (0.5000, 0.4426, 0.2500)  12 Ir 2.72-2.75
Tl (0.0000, 0.8051, 0.2500)  6 Ir 2.84-3.15
Tl (0.0000, 0.1949, 0.7500)  6 Ir 2.84-3.15